FeMoAu2O, relaxed, DFT PBE+U; crystal system = tetragonal; DFT total energy = -4.3783 eV per atom
1.0
4.764 0.000 0.000
0.000 4.067 0.000
0.000 0.000 4.764
Mo Au O Fe
1 2 1 1
Cartesian
0.000 2.033 0.000
2.382 0.000 0.000
0.000 0.000 2.382
0.000 0.000 0.000
2.382 2.033 2.382